Here is crystalline La2ErTl at its relaxed geometry from Alexandria. Energies are from PBE.

Energy of formation ... -95 meV per atom
Distance to the lowest polymorph of the same formula ... 109 meV/atom
Density of states at the Fermi level ... 7.81 states/eV per cell

Unit cell a=5.6603 b=5.6603 c=5.6603 alpha=60.00 beta=60.00 gamma=60.00
Last column: nearest neighbours and their distance in Å.
Atoms (fractional coordinates):
Tl (0.0000, 0.0000, 0.0000)  8 La 3.47
Er (0.5000, 0.5000, 0.5000)  8 La 3.47
La (0.2500, 0.2500, 0.2500)  4 Er 3.47, 4 Tl 3.47
La (0.7500, 0.7500, 0.7500)  4 Tl 3.47, 4 Er 3.47